*i*
BeOs5 | PBE | relaxed

Lattice parameters (Å, degrees): 7.170 7.170 7.170 90.00 90.00 90.00
Space group F-43m (No. 216)
One atom of each set of equivalent atoms:
Be: 0.000 0.000 0.000
Os: 0.125 0.125 0.375
Os: 0.250 0.250 0.750

*ii*
BeOs5 | PBE | relaxed

Lattice parameters (Å, degrees): 2.759 2.759 10.459 90.00 90.00 90.00
Space group P4/mmm (No. 123)
One atom of each set of equivalent atoms:
Be: 0.000 0.000 0.000
Os: 0.000 0.000 0.314
Os: 0.500 0.500 0.138
Os: 0.500 0.500 0.500

Which one sits at the bottom of the stability order? *i* does.